Pa2O4F | PBE | optimized geometry

Summary:
Its uncorrected formation energy is -3.64 eV per atom. The electronic total energy is -9.4546 eV per atom. The density of states at the Fermi level comes out at 18.82 states/eV/cell.

CIF file:
```
data_Pa2O4F
_chemical_formula_sum 'Pa6 O12 F3'
_space_group_name_H-M_alt 'R -3 m'
_space_group_IT_number 166
_space_group_name_Hall '-R 3 2"'
_cell_length_a 3.8280
_cell_length_b 3.8280
_cell_length_c 23.5391
_cell_angle_alpha 90.00
_cell_angle_beta 90.00
_cell_angle_gamma 120.00
loop_
_atom_site_label
_atom_site_fract_x
_atom_site_fract_y
_atom_site_fract_z
Pa1 0.0000 0.0000 0.0984
O1 0.0000 0.0000 0.1988
O2 0.0000 0.0000 0.4082
F1 0.0000 0.0000 0.0000
```